Cs2MgSbI6 | Alexandria via LeMat-Bulk | PBE-GGA | relaxed; density of states at the Fermi level = 3.66 states/eV/f.u.; space-group type = I4/mmm; raw formation energy = -0.929 eV per atom; total magnetization = 0.0 μB/cell
1.0
8.625 0.000 0.000
0.000 8.625 0.000
4.312 4.312 6.095
Cs Mg I Sb
2 1 6 1
Cartesian
8.625 4.312 3.048
4.312 8.625 3.048
4.312 4.312 0.000
2.198 2.198 0.000
8.625 8.625 3.122
4.312 4.312 2.973
2.198 6.427 0.000
6.427 2.198 0.000
6.427 6.427 0.000
0.000 0.000 0.000



LaGdMgAg | Alexandria via LeMat-Bulk | PBE-GGA | relaxed; density of states at the Fermi level = 5.11 states/eV/f.u.; space-group type = F-43m; formation energy from the elements = -147 meV/atom; total magnetization = 7.9 μB/cell
1.0
5.400 0.000 0.000
2.700 4.677 0.000
2.700 1.559 4.409
Mg La Ag Gd
1 1 1 1
Cartesian
0.000 0.000 0.000
2.700 1.559 1.102
5.400 3.118 2.205
8.101 4.677 3.307



Ba2LaZrH | Alexandria via LeMat-Bulk | PBE-GGA | relaxed; density of states at the Fermi level = 6.13 states/eV/f.u.; space-group type = P4/mmm; total energy = -3.8478 eV/atom; total magnetization = 0.0 μB/cell
1.0
-3.617 0.317 -4.147
3.679 -1.058 -3.289
-1.076 -5.380 0.527
H Zr La Ba
1 1 1 2
Cartesian
0.000 0.000 0.000
1.839 -0.529 -1.645
-0.507 -3.060 -3.455
-0.538 -2.690 0.263
-1.808 0.159 -2.073



Ac2Nd7Er2 | Alexandria via LeMat-Bulk | PBE-GGA | relaxed; energy above the lowest structure with this stoichiometry = 0 meV per atom; density of states at the Fermi level = 15.53 states/eV/f.u.; space-group type = C2/m; formation energy from the elements = 311 meV/atom; total magnetization = 0.0 μB/cell
1.0
6.729 -0.969 0.463
-0.994 9.447 0.883
-0.327 0.969 6.737
Nd Er Ac
7 2 2
Cartesian
1.925 2.298 0.807
0.000 0.000 0.000
3.483 7.150 7.275
5.824 2.298 5.193
5.144 2.855 1.872
-0.417 7.150 2.889
0.264 6.592 6.211
3.731 4.724 5.197
1.676 4.724 2.886
3.204 8.270 3.596
2.204 1.178 4.486



Pr2SnP3Rh12 | Alexandria via LeMat-Bulk | PBE-GGA | relaxed; density of states at the Fermi level = 12.22 states/eV/f.u.; space-group type = R-3m; formation energy from the elements = -234 meV/atom; total magnetization = 0.0 μB/cell
1.0
7.321 -0.534 -0.379
3.152 6.630 -0.379
3.152 1.834 6.382
Rh Pr P Sn
12 2 3 1
Cartesian
8.221 7.066 5.012
7.278 4.236 0.082
3.420 4.271 0.613
7.278 1.478 3.971
3.420 1.991 3.829
5.403 0.864 0.613
6.347 3.694 5.543
4.879 5.598 3.971
10.204 3.659 5.012
8.745 2.332 1.654
6.347 6.453 1.654
10.204 5.940 1.796
8.188 4.766 3.381
5.436 3.164 2.244
1.576 0.917 3.191
1.576 3.315 -0.189
3.661 -0.267 -0.189
0.000 0.000 0.000



HoZn11Co | Alexandria via LeMat-Bulk | PBE-GGA | relaxed; density of states at the Fermi level = 5.73 states/eV/f.u.; space-group type = C2/m; formation energy from the elements = -170 meV/atom; total magnetization = 0.0 μB/cell
1.0
4.665 0.029 1.943
2.315 6.258 0.965
-0.088 0.014 6.781
Zn Co Ho
11 1 1
Cartesian
5.044 4.917 7.472
3.146 4.035 5.804
-0.044 0.007 3.391
5.309 2.281 6.705
1.158 3.129 0.482
2.289 0.022 4.362
4.104 4.902 3.157
3.747 2.267 3.885
1.849 1.385 2.217
1.583 4.021 2.984
2.789 1.400 6.532
3.490 3.144 1.454
0.000 0.000 0.000